First-principles (PBE) data for a geometry-optimized La4AlGaAg2 structure, as listed in the Alexandria database.

Properties
Its total magnetic moment is 0.0 μB per formula unit. As for the crystal system: trigonal. The value obtained for the total energy is -4.38 eV/atom. The formation enthalpy at 0 K comes out at -273 kJ/mol of formula units.

Lattice parameters (Å, degrees): 5.403 5.403 9.368 73.24 73.24 60.00
Sites, in units of the cell vectors:
La 0.377 0.377 0.868
La 0.873 0.873 0.381
La 0.127 0.127 0.619
La 0.623 0.623 0.132
Al 0.000 0.000 0.000
Ga 0.500 0.500 0.500
Ag 0.745 0.745 0.764
Ag 0.255 0.255 0.236

=====

First-principles (PBE) data for a geometry-optimized RhPbF structure, as listed in the Alexandria database.

Properties
Its total magnetic moment is 0.2 μB per formula unit. As for the crystal system: monoclinic. The value obtained for the total energy is -5.17 eV/atom. The value obtained for the energy relative to the lowest polymorph listed for this composition is 82 meV per atom. For the uncorrected formation energy, the calculation gives -864 meV per atom.

Lattice parameters (Å, degrees): 5.839 4.601 8.214 90.00 98.79 90.00
Sites, in units of the cell vectors:
Pb 0.302 0.000 0.531
Pb 0.302 0.500 0.031
Pb 0.852 0.000 0.164
Pb 0.852 0.500 0.664
Rh 0.684 0.000 0.801
Rh 0.684 0.500 0.301
Rh 0.807 0.000 0.492
Rh 0.807 0.500 0.992
F 0.255 0.000 0.225
F 0.255 0.500 0.725
F 0.376 0.000 0.924
F 0.376 0.500 0.424

=====

Which formula does entry 1 have?
La4AlGaAg2

=====

Please write out number 2 again, unchanged.
First-principles (PBE) data for a geometry-optimized RhPbF structure, as listed in the Alexandria database.

Properties
Its total magnetic moment is 0.2 μB per formula unit. As for the crystal system: monoclinic. The value obtained for the total energy is -5.17 eV/atom. The value obtained for the energy relative to the lowest polymorph listed for this composition is 82 meV per atom. For the uncorrected formation energy, the calculation gives -864 meV per atom.

Lattice parameters (Å, degrees): 5.839 4.601 8.214 90.00 98.79 90.00
Sites, in units of the cell vectors:
Pb 0.302 0.000 0.531
Pb 0.302 0.500 0.031
Pb 0.852 0.000 0.164
Pb 0.852 0.500 0.664
Rh 0.684 0.000 0.801
Rh 0.684 0.500 0.301
Rh 0.807 0.000 0.492
Rh 0.807 0.500 0.992
F 0.255 0.000 0.225
F 0.255 0.500 0.725
F 0.376 0.000 0.924
F 0.376 0.500 0.424